The following is a DFT calculation (PBE with a Hubbard U) of crystalline MoH8N2O4 at its relaxed geometry.

Polymorph energy (0 for the lowest one) in meV per atom: 48.4
M_tot in μB per formula unit: 0.0
E_tot in eV/cell: -166.16

Lattice parameters (Å, degrees): 7.039 7.039 7.906 112.01 112.01 61.80
Element x y z (fractional)
1 Mo 0.211 0.211 0.252
2 Mo 0.789 0.789 0.748
3 H 0.058 0.058 0.727
4 H 0.081 0.312 0.795
5 H 0.131 0.131 0.586
6 H 0.276 0.502 0.115
7 H 0.312 0.081 0.795
8 H 0.332 0.332 0.605
9 H 0.471 0.471 0.315
10 H 0.498 0.724 0.885
11 H 0.502 0.276 0.115
12 H 0.529 0.529 0.685
13 H 0.668 0.668 0.395
14 H 0.688 0.919 0.205
15 H 0.724 0.498 0.885
16 H 0.869 0.869 0.414
17 H 0.919 0.688 0.205
18 H 0.942 0.942 0.273
19 N 0.145 0.145 0.727
20 N 0.390 0.390 0.195
21 N 0.610 0.610 0.805
22 N 0.855 0.855 0.273
23 O 0.030 0.621 0.886
24 O 0.106 0.106 0.358
25 O 0.356 0.356 0.503
26 O 0.379 0.970 0.114
27 O 0.621 0.030 0.886
28 O 0.644 0.644 0.497
29 O 0.894 0.894 0.642
30 O 0.970 0.379 0.114


The following is a DFT calculation (PBE with a Hubbard U) of crystalline MoH8N2O4 at its relaxed geometry.

Polymorph energy (0 for the lowest one) in meV per atom: 5.6
M_tot in μB per formula unit: 0.0
E_tot in eV/cell: -334.88

Lattice parameters (Å, degrees): 6.394 7.769 12.313 90.00 113.16 90.00
Element x y z (fractional)
1 Mo 0.090 0.136 0.314
2 Mo 0.090 0.364 0.814
3 Mo 0.910 0.636 0.186
4 Mo 0.910 0.864 0.686
5 H 0.210 0.739 0.481
6 H 0.210 0.761 0.981
7 H 0.223 0.591 0.588
8 H 0.223 0.909 0.088
9 H 0.244 0.524 0.462
10 H 0.244 0.976 0.962
11 H 0.290 0.226 0.656
12 H 0.290 0.274 0.156
13 H 0.332 0.078 0.562
14 H 0.332 0.422 0.062
15 H 0.352 0.016 0.696
16 H 0.352 0.484 0.196
17 H 0.445 0.654 0.815
18 H 0.445 0.846 0.315
19 H 0.459 0.643 0.562
20 H 0.459 0.857 0.062
21 H 0.541 0.143 0.938
22 H 0.541 0.357 0.438
23 H 0.555 0.154 0.685
24 H 0.555 0.346 0.185
25 H 0.648 0.516 0.804
26 H 0.648 0.984 0.304
27 H 0.668 0.578 0.938
28 H 0.668 0.922 0.438
29 H 0.710 0.726 0.844
30 H 0.710 0.774 0.344
31 H 0.756 0.024 0.038
32 H 0.756 0.476 0.538
33 H 0.777 0.091 0.912
34 H 0.777 0.409 0.412
35 H 0.790 0.239 0.019
36 H 0.790 0.261 0.519
37 N 0.282 0.625 0.524
38 N 0.282 0.875 0.024
39 N 0.385 0.118 0.650
40 N 0.385 0.382 0.150
41 N 0.615 0.618 0.850
42 N 0.615 0.882 0.350
43 N 0.718 0.125 0.976
44 N 0.718 0.375 0.476
45 O 0.166 0.094 0.190
46 O 0.166 0.406 0.690
47 O 0.178 0.539 0.918
48 O 0.178 0.961 0.418
49 O 0.211 0.669 0.231
50 O 0.211 0.831 0.731
51 O 0.246 0.176 0.890
52 O 0.246 0.324 0.390
53 O 0.754 0.676 0.610
54 O 0.754 0.824 0.110
55 O 0.789 0.169 0.269
56 O 0.789 0.331 0.769
57 O 0.822 0.039 0.582
58 O 0.822 0.461 0.082
59 O 0.834 0.594 0.310
60 O 0.834 0.906 0.810


The following is a DFT calculation (PBE with a Hubbard U) of crystalline MoH8N2O4 at its relaxed geometry.

Polymorph energy (0 for the lowest one) in meV per atom: 0.0
M_tot in μB per formula unit: 0.0
E_tot in eV/cell: -167.61

Lattice parameters (Å, degrees): 7.256 7.256 7.848 115.60 115.60 55.80
Element x y z (fractional)
1 Mo 0.170 0.170 0.227
2 Mo 0.830 0.830 0.773
3 H 0.093 0.093 0.752
4 H 0.100 0.345 0.799
5 H 0.138 0.138 0.582
6 H 0.324 0.572 0.132
7 H 0.345 0.100 0.799
8 H 0.415 0.415 0.288
9 H 0.428 0.676 0.868
10 H 0.443 0.443 0.664
11 H 0.557 0.557 0.336
12 H 0.572 0.324 0.132
13 H 0.585 0.585 0.712
14 H 0.655 0.900 0.201
15 H 0.676 0.428 0.868
16 H 0.862 0.862 0.418
17 H 0.900 0.655 0.201
18 H 0.907 0.907 0.248
19 N 0.168 0.168 0.734
20 N 0.469 0.469 0.222
21 N 0.531 0.531 0.778
22 N 0.832 0.832 0.266
23 O 0.071 0.637 0.920
24 O 0.074 0.074 0.333
25 O 0.325 0.325 0.413
26 O 0.363 0.929 0.080
27 O 0.637 0.071 0.920
28 O 0.675 0.675 0.587
29 O 0.926 0.926 0.667
30 O 0.929 0.363 0.080


The following is a DFT calculation (PBE with a Hubbard U) of crystalline MoH8S2N2O2 at its relaxed geometry.

M_tot in μB per formula unit: 0.0
E_tot in eV/cell: -156.20

Lattice parameters (Å, degrees): 6.930 6.930 9.554 113.16 113.16 63.25
Element x y z (fractional)
1 Mo 0.085 0.915 0.750
2 Mo 0.915 0.085 0.250
3 H 0.120 0.524 0.182
4 H 0.190 0.284 0.038
5 H 0.200 0.270 0.216
6 H 0.270 0.200 0.716
7 H 0.284 0.190 0.538
8 H 0.344 0.391 0.704
9 H 0.391 0.344 0.204
10 H 0.476 0.880 0.318
11 H 0.524 0.120 0.682
12 H 0.609 0.656 0.796
13 H 0.656 0.609 0.296
14 H 0.716 0.810 0.462
15 H 0.730 0.800 0.284
16 H 0.800 0.730 0.784
17 H 0.810 0.716 0.962
18 H 0.880 0.476 0.818
19 S 0.256 0.725 0.560
20 S 0.275 0.744 0.940
21 S 0.725 0.256 0.060
22 S 0.744 0.275 0.440
23 N 0.225 0.356 0.160
24 N 0.356 0.225 0.660
25 N 0.644 0.775 0.340
26 N 0.775 0.644 0.840
27 O 0.093 0.196 0.823
28 O 0.196 0.093 0.323
29 O 0.804 0.907 0.677
30 O 0.907 0.804 0.177


- Look up the M_tot of the first one.
  0.0 μB per formula unit